The following is a DFT calculation (PBE) of a geometry-optimized HfTiCdMo structure.

Computed properties:
E_form (eV/atom): 0.031
Magnetic moment (μB per cell): 0.00
Raw total energy (eV for the cell shown): -29.5

```
4
Lattice="4.7073 0.0000 0.0000 2.3536 4.0766 0.0000 2.3536 1.3589 3.8435" Properties=species:S:1:pos:R:3 pbc="T T T"
Mo 7.0609 4.0766 2.8826
Ti 0.0000 0.0000 0.0000
Hf 4.7073 2.7177 1.9217
Cd 2.3536 1.3589 0.9609
```



The following is a DFT calculation (PBE) of a geometry-optimized HfZrCdMo structure.

Computed properties:
E_form (eV/atom): 0.004
Magnetic moment (μB per cell): 0.00
Raw total energy (eV for the cell shown): -30.2

```
4
Lattice="-3.3778 -2.0692 2.7699 -4.0024 -1.8109 -2.0161 -0.6679 -4.7841 -0.1710" Properties=species:S:1:pos:R:3 pbc="T T T"
Mo -6.0361 -6.4981 0.4371
Hf 0.0000 0.0000 0.0000
Zr -4.0241 -4.3321 0.2914
Cd -2.0120 -2.1660 0.1457
```



The following is a DFT calculation (PBE) of a geometry-optimized Hf3CdN structure.

Computed properties:
Magnetic moment (μB per cell): 0.00
Raw total energy (eV for the cell shown): -85.4

```
10
Lattice="-1.9392 -3.3144 -2.3387 4.5729 0.3435 -4.2785 3.3327 -4.2239 3.2229" Properties=species:S:1:pos:R:3 pbc="T T T"
Hf 1.3168 -1.4855 -3.3086
Hf 0.6968 -3.7692 0.4421
Hf 4.2380 -0.8889 -2.2543
Hf 1.8195 -0.8932 -0.2428
Hf 3.6675 -2.9916 1.1987
Hf 6.0861 -2.9872 -0.8129
Cd -0.9696 -1.6572 -1.1693
Cd 2.9832 -3.5974 -1.6972
N 2.2864 0.1717 -2.1393
N 1.6663 -2.1120 1.6114
```



The following is a DFT calculation (PBE) of a geometry-optimized Hf3CdN structure.

Computed properties:
Magnetic moment (μB per cell): 0.00
Raw total energy (eV for the cell shown): -42.7

```
5
Lattice="-3.9997 -0.9663 1.7090 1.9509 -2.3906 3.2142 0.2198 3.6337 2.5691" Properties=species:S:1:pos:R:3 pbc="T T T"
N 0.0000 0.0000 0.0000
Hf 0.9755 -1.1953 1.6071
Hf 0.1099 1.8168 1.2845
Hf -1.9998 -0.4832 0.8545
Cd -0.9145 0.1384 3.7461
```



magnetic moment of number 3 (Hf3CdN)? 0.00 μB per cell